DFT (PBEsol) results for a relaxed Ba2NiMoO6 crystal.

**Formation energy (no corrections)**: -51.192 kcal/mol of atoms
**Total magnetic moment**: 2.0 μB/f.u.
**Final energy**: -7.592 eV/atom

Cell lengths 7.997, 7.997, 7.997 Å; angles 90.00, 90.00, 90.00 degrees
Space group Fm-3m (No. 225)
One atom of each set of equivalent atoms:
Ba 0.250 0.250 0.250 x8
Ni 0.000 0.000 0.000 x4
Mo 0.000 0.000 0.500 x4
O 0.000 0.000 0.259 x24

---

DFT (PBEsol) results for a relaxed BaMo3O10 crystal.

**Formation energy (no corrections)**: -50.772 kcal/mol of atoms
**Total magnetic moment**: 0.0 μB/f.u.
**Final energy**: -8.626 eV/atom

Cell lengths 7.066, 7.556, 15.017 Å; angles 90.00, 106.43, 90.00 degrees
Space group P2_1/c (No. 14)
One atom of each set of equivalent atoms:
Ba 0.174 0.131 0.317 x4
Mo 0.283 0.139 0.603 x4
Mo 0.334 0.649 0.635 x4
Mo 0.350 0.628 0.416 x4
O 0.103 0.149 0.661 x4
O 0.119 0.610 0.666 x4
O 0.150 0.131 0.489 x4
O 0.189 0.610 0.308 x4
O 0.197 0.638 0.492 x4
O 0.341 0.611 0.121 x4
O 0.368 0.119 0.116 x4
O 0.431 0.639 0.913 x4
O 0.433 0.115 0.931 x4
O 0.486 0.139 0.757 x4

---

DFT (PBEsol) results for a relaxed BaMoO4 crystal.

**Formation energy (no corrections)**: -58.814 kcal/mol of atoms
**Total magnetic moment**: 0.0 μB/f.u.
**Final energy**: -8.369 eV/atom

Cell lengths 5.586, 5.586, 12.713 Å; angles 90.00, 90.00, 90.00 degrees
Space group I4_1/a (No. 88, origin choice 2)
One atom of each set of equivalent atoms:
Ba 0.000 0.250 0.125 x4
Mo 0.000 0.250 0.625 x4
O 0.122 0.483 0.703 x16

---

DFT (PBEsol) results for a relaxed BaMo2P3O12 crystal.

**Formation energy (no corrections)**: -50.857 kcal/mol of atoms
**Total magnetic moment**: 5.0 μB/f.u.
**Final energy**: -8.097 eV/atom

Cell lengths 8.5984, 8.5984, 23.7488 Å; angles 90.00, 90.00, 120.00 degrees
Space group R-3c (No. 167, hexagonal axes)
One atom of each set of equivalent atoms:
Ba 0.0000 0.0000 0.0000 x6
Mo 0.0000 0.0000 0.1498 x12
P 0.0000 0.2844 0.2500 x18
O 0.0274 0.1955 0.9055 x36
O 0.0488 0.2142 0.1973 x36

---

DFT (PBEsol) results for a relaxed BaMo2P2O12 crystal.

**Formation energy (no corrections)**: -52.745 kcal/mol of atoms
**Total magnetic moment**: 0.0 μB/f.u.
**Final energy**: -8.185 eV/atom

Cell lengths 6.395, 7.144, 10.062 Å; angles 90.00, 94.72, 90.00 degrees
Space group P2_1/c (No. 14)
One atom of each set of equivalent atoms:
Ba 0.000 0.000 0.000 x2
Mo 0.269 0.034 0.673 x4
P 0.237 0.055 0.344 x4
O 0.046 0.578 0.819 x4
O 0.222 0.168 0.473 x4
O 0.226 0.680 0.099 x4
O 0.248 0.178 0.219 x4
O 0.309 0.524 0.337 x4
O 0.437 0.570 0.857 x4

---

DFT (PBEsol) results for a relaxed BaMo2P3O14 crystal.

**Formation energy (no corrections)**: -52.658 kcal/mol of atoms
**Total magnetic moment**: 1.0 μB/f.u.
**Final energy**: -8.111 eV/atom

Cell lengths 13.118, 9.688, 8.667 Å; angles 90.00, 99.48, 90.00 degrees
Space group Cc (No. 9)
One atom of each set of equivalent atoms:
Ba 0.000 0.042 0.000 x4
Mo 0.153 0.333 0.343 x4
Mo 0.346 0.150 0.170 x4
P 0.008 0.431 0.003 x4
P 0.222 0.116 0.808 x4
P 0.285 0.395 0.695 x4
O 0.055 0.329 0.134 x4
O 0.084 0.221 0.434 x4
O 0.090 0.499 0.921 x4
O 0.114 0.066 0.749 x4
O 0.225 0.278 0.774 x4
O 0.227 0.475 0.225 x4
O 0.238 0.108 0.989 x4
O 0.238 0.207 0.267 x4
O 0.271 0.362 0.517 x4
O 0.311 0.051 0.741 x4
O 0.384 0.306 0.111 x4
O 0.399 0.401 0.757 x4
O 0.441 0.162 0.381 x4
O 0.447 0.044 0.072 x4